No. 1
Sr2FeMo PBE optimized geometry; E = -4.46 eV/atom; size of the total moment = 0.68 μB/atom; relative energy among the computed polymorphs = 0.6313 eV/atom; crystal system = monoclinic; calculated volume = 98.2 Å³/cell; ΔH_f (0 K) = 1.20 eV/atom; SG = C2/m
1.0
3.242 -4.909 0.000
3.242 4.909 0.000
-0.007 0.000 3.085
Sr Fe Mo
2 1 1
direct
0.000 0.500 0.000
0.500 0.000 0.000
0.000 0.000 0.500
0.500 0.500 0.500

=====

No. 2
LiGdTmSi PBE optimized geometry; E = -6.82 eV/atom; size of the total moment = 1.83 μB/atom; crystal system = cubic; calculated volume = 86.1 Å³/cell; formation energy without anion corrections = -0.345 eV per atom; SG = F-43m
1.0
0.000 3.504 3.504
3.504 0.000 3.504
3.504 3.504 0.000
Li Gd Tm Si
1 1 1 1
direct
0.000 0.000 0.000
0.250 0.250 0.250
0.750 0.750 0.750
0.500 0.500 0.500

=====

No. 3
SrZr2Te PBE optimized geometry; E = -5.48 eV/atom; size of the total moment = 0.00 μB/atom; crystal system = tetragonal; calculated volume = 106.3 Å³/cell; formation energy without anion corrections = 0.002 eV per atom; SG = P4/mmm
1.0
4.472 0.000 0.000
0.000 4.472 0.000
0.000 0.000 5.315
Sr Zr Te
1 2 1
direct
0.000 0.000 0.000
0.000 0.500 0.500
0.500 0.000 0.500
0.500 0.500 0.000

=====

No. 4
Ho5Hg2Sb PBE optimized geometry; E = -4.00 eV/atom; size of the total moment = 0.00 μB/atom; crystal system = tetragonal; calculated volume = 438.1 Å³/cell; formation energy without anion corrections = -0.545 eV per atom; SG = I4/mcm
1.0
-4.108 4.108 6.489
4.108 -4.108 6.489
4.108 4.108 -6.489
Ho Hg Sb
10 4 2
direct
0.000 0.000 0.000
0.006 0.506 0.808
0.198 0.006 0.500
0.302 0.802 0.808
0.494 0.302 0.500
0.500 0.500 0.000
0.506 0.698 0.500
0.698 0.198 0.192
0.802 0.994 0.500
0.994 0.494 0.192
0.140 0.360 0.500
0.360 0.860 0.221
0.640 0.140 0.779
0.860 0.640 0.500
0.250 0.250 0.000
0.750 0.750 0.000

=====

No. 5
K2CdH PBE optimized geometry; E = -1.65 eV/atom; size of the total moment = 0.00 μB/atom; relative energy among the computed polymorphs = 0.0000 eV/atom; crystal system = trigonal; calculated volume = 124.6 Å³/cell; SG = R-3m
1.0
1.962 1.133 9.340
-1.962 1.133 9.340
0.000 -2.266 9.340
K Cd H
2 1 1
direct
0.227 0.227 0.227
0.773 0.773 0.773
0.000 0.000 0.000
0.500 0.500 0.500

=====

No. 6
Nd3AlSi2Pd9 PBE optimized geometry; E = -5.71 eV/atom; size of the total moment = 0.00 μB/atom; crystal system = trigonal; calculated volume = 308.5 Å³/cell; formation energy without anion corrections = -0.664 eV per atom; SG = P-3m1
1.0
6.351 0.000 0.000
-3.176 5.500 0.000
0.000 0.000 8.832
Nd Al Si Pd
3 1 2 9
direct
0.000 0.000 0.000
0.333 0.667 0.673
0.667 0.333 0.327
0.000 0.000 0.500
0.333 0.667 0.176
0.667 0.333 0.824
0.000 0.500 0.000
0.146 0.292 0.287
0.146 0.854 0.287
0.292 0.146 0.713
0.500 0.000 0.000
0.500 0.500 0.000
0.708 0.854 0.287
0.854 0.146 0.713
0.854 0.708 0.713